[1]
! Pm3Pr2Dy6Pb | Alexandria via LeMat-Bulk | PBE-GGA | relaxed; values from VASP
&SYSTEM
  ibrav = 0, nat = 12, ntyp = 4
/
ATOMIC_SPECIES
Dy 162.50 Dy.upf
Pb 207.20 Pb.upf
Pr 140.91 Pr.upf
Pm 145.00 Pm.upf
ATOMIC_POSITIONS crystal
Dy 0.9178 0.5916 0.7516
Dy 0.4084 0.0822 0.2484
Dy 0.7567 0.7567 0.2494
Dy 0.5916 0.9178 0.7516
Dy 0.0822 0.4084 0.2484
Dy 0.2433 0.2433 0.7506
Pb 0.0000 0.0000 0.0000
Pr 0.3337 0.6663 0.0000
Pr 0.6663 0.3337 0.0000
Pm 0.1679 0.8321 0.5000
Pm 0.5000 0.5000 0.5000
Pm 0.8321 0.1679 0.5000
CELL_PARAMETERS angstrom
-0.7374 -4.8427 3.7545
4.7639 0.1688 -3.9203
5.1345 6.8651 8.1633
! space-group type: C2/m, No. 12
! total energy: -55.978 eV per cell
! ΔH_f (0 K): -0.071 eV per atom

[2]
! PmDySbPb | Alexandria via LeMat-Bulk | PBE-GGA | relaxed; values from VASP
&SYSTEM
  ibrav = 0, nat = 4, ntyp = 4
/
ATOMIC_SPECIES
Pm 145.00 Pm.upf
Pb 207.20 Pb.upf
Sb 121.76 Sb.upf
Dy 162.50 Dy.upf
ATOMIC_POSITIONS crystal
Pm 0.7500 0.7500 0.7500
Pb 0.5000 0.5000 0.5000
Sb 0.0000 0.0000 0.0000
Dy 0.2500 0.2500 0.2500
CELL_PARAMETERS angstrom
-5.1059 0.1625 1.9588
-2.6872 -4.6547 1.0224
-0.9979 -1.5049 5.1645
! raw formation energy: -0.57 eV/atom
! space-group type: F-43m, No. 216
! total energy: -19.462 eV per cell

[3]
! PmDyPbSe | Alexandria via LeMat-Bulk | PBE-GGA | relaxed; values from VASP
&SYSTEM
  ibrav = 0, nat = 4, ntyp = 4
/
ATOMIC_SPECIES
Dy 162.50 Dy.upf
Pm 145.00 Pm.upf
Se 78.96 Se.upf
Pb 207.20 Pb.upf
ATOMIC_POSITIONS crystal
Dy 0.0000 0.8917 0.5925
Pm 0.5000 0.3914 0.0925
Se 0.5000 0.3916 0.5924
Pb 0.0000 0.8914 0.0924
CELL_PARAMETERS angstrom
-2.2917 -3.6162 0.8150
2.9334 -1.1836 2.9966
-3.1708 2.9738 4.2790
! raw formation energy: -1.13 eV/atom
! space-group type: P4/mmm, No. 123
! total energy: -21.065 eV per cell

[4]
! PmDySnPb | Alexandria via LeMat-Bulk | PBE-GGA | relaxed; values from VASP
&SYSTEM
  ibrav = 0, nat = 4, ntyp = 4
/
ATOMIC_SPECIES
Dy 162.50 Dy.upf
Pm 145.00 Pm.upf
Sn 118.71 Sn.upf
Pb 207.20 Pb.upf
ATOMIC_POSITIONS crystal
Dy 0.0000 0.0000 0.0000
Pm 0.5000 0.5000 0.5000
Sn 0.2500 0.2500 0.2500
Pb 0.7500 0.7500 0.7500
CELL_PARAMETERS angstrom
-1.3091 -4.6631 -2.5222
3.8110 -3.8244 -0.8189
-0.1721 -4.6738 2.8189
! space-group type: F-43m, No. 216
! total energy: -18.987 eV per cell
! ΔH_f (0 K): -0.481 eV per atom

[5]
! Tb6Pm3Dy2Pb | Alexandria via LeMat-Bulk | PBE-GGA | relaxed; values from VASP
&SYSTEM
  ibrav = 0, nat = 12, ntyp = 4
/
ATOMIC_SPECIES
Pb 207.20 Pb.upf
Pm 145.00 Pm.upf
Tb 158.93 Tb.upf
Dy 162.50 Dy.upf
ATOMIC_POSITIONS crystal
Pb 0.0000 0.0000 0.0000
Pm 0.5000 0.5000 0.5000
Pm 0.8318 0.1682 0.5000
Pm 0.1682 0.8318 0.5000
Tb 0.9193 0.5920 0.7552
Tb 0.5920 0.9193 0.7552
Tb 0.7534 0.7534 0.2469
Tb 0.2466 0.2466 0.7531
Tb 0.4080 0.0807 0.2448
Tb 0.0807 0.4080 0.2448
Dy 0.6656 0.3344 0.0000
Dy 0.3344 0.6656 0.0000
CELL_PARAMETERS angstrom
-5.0417 0.7872 -3.4629
0.8715 -5.3029 3.0249
-4.1983 5.8134 9.2835
! space-group type: C2/m, No. 12
! total energy: -55.552 eV per cell
! ΔH_f (0 K): -0.050 eV per atom

[6]
! Tb6Pm2Dy3Pb | Alexandria via LeMat-Bulk | PBE-GGA | relaxed; values from VASP
&SYSTEM
  ibrav = 0, nat = 12, ntyp = 4
/
ATOMIC_SPECIES
Tb 158.93 Tb.upf
Dy 162.50 Dy.upf
Pm 145.00 Pm.upf
Pb 207.20 Pb.upf
ATOMIC_POSITIONS crystal
Tb 0.5901 0.9169 0.7497
Tb 0.4099 0.0831 0.2503
Tb 0.9169 0.5901 0.7497
Tb 0.7566 0.7566 0.2517
Tb 0.2434 0.2434 0.7483
Tb 0.0831 0.4099 0.2503
Dy 0.1676 0.8324 0.5000
Dy 0.8324 0.1676 0.5000
Dy 0.5000 0.5000 0.5000
Pm 0.6661 0.3339 0.0000
Pm 0.3339 0.6661 0.0000
Pb 0.0000 0.0000 0.0000
CELL_PARAMETERS angstrom
6.1218 -0.0026 0.0087
-3.0616 5.3012 0.0087
-1.0420 -1.8043 11.6010
! space-group type: C2/m, No. 12
! total energy: -55.569 eV per cell
! ΔH_f (0 K): -0.064 eV per atom

[7]
! Tb2Pm3Dy6Pb | Alexandria via LeMat-Bulk | PBE-GGA | relaxed; values from VASP
&SYSTEM
  ibrav = 0, nat = 12, ntyp = 4
/
ATOMIC_SPECIES
Dy 162.50 Dy.upf
Pm 145.00 Pm.upf
Tb 158.93 Tb.upf
Pb 207.20 Pb.upf
ATOMIC_POSITIONS crystal
Dy 0.0810 0.4085 0.2453
Dy 0.2463 0.2463 0.7530
Dy 0.7537 0.7537 0.2470
Dy 0.5915 0.9190 0.7547
Dy 0.4085 0.0810 0.2453
Dy 0.9190 0.5915 0.7547
Pm 0.1679 0.8321 0.5000
Pm 0.5000 0.5000 0.5000
Pm 0.8321 0.1679 0.5000
Tb 0.3341 0.6659 0.0000
Tb 0.6659 0.3341 0.0000
Pb 0.0000 0.0000 0.0000
CELL_PARAMETERS angstrom
6.1487 -0.0012 0.0130
-3.0739 5.3252 0.0130
-1.0560 -1.8285 11.5264
! space-group type: C2/m, No. 12
! total energy: -55.477 eV per cell
! ΔH_f (0 K): -0.054 eV per atom

[8]
! PmDyThPb | Alexandria via LeMat-Bulk | PBE-GGA | relaxed; values from VASP
&SYSTEM
  ibrav = 0, nat = 4, ntyp = 4
/
ATOMIC_SPECIES
Pm 145.00 Pm.upf
Th 232.04 Th.upf
Pb 207.20 Pb.upf
Dy 162.50 Dy.upf
ATOMIC_POSITIONS crystal
Pm 0.5000 0.5000 0.5000
Th 0.7500 0.7500 0.7500
Pb 0.2500 0.2500 0.2500
Dy 0.0000 0.0000 0.0000
CELL_PARAMETERS angstrom
-3.8280 -1.7650 -3.5914
-4.1674 -3.2017 1.7459
-5.1474 2.0304 0.2192
! space-group type: F-43m, No. 216
! total energy: -20.671 eV per cell
! ΔH_f (0 K): -0.048 eV per atom

[9]
! Pm2Dy3Tm6Pb | Alexandria via LeMat-Bulk | PBE-GGA | relaxed; values from VASP
&SYSTEM
  ibrav = 0, nat = 12, ntyp = 4
/
ATOMIC_SPECIES
Dy 162.50 Dy.upf
Tm 168.93 Tm.upf
Pm 145.00 Pm.upf
Pb 207.20 Pb.upf
ATOMIC_POSITIONS crystal
Dy 0.8328 0.1672 0.5000
Dy 0.5000 0.5000 0.5000
Dy 0.1672 0.8328 0.5000
Tm 0.7551 0.7551 0.2513
Tm 0.5894 0.9174 0.7498
Tm 0.2449 0.2449 0.7487
Tm 0.0826 0.4106 0.2502
Tm 0.4106 0.0826 0.2502
Tm 0.9174 0.5894 0.7498
Pm 0.3339 0.6661 0.0000
Pm 0.6661 0.3339 0.0000
Pb 0.0000 0.0000 0.0000
CELL_PARAMETERS angstrom
-5.3206 1.9683 -2.1216
0.7695 -0.8347 5.9494
5.1156 10.4627 -0.2265
! space-group type: C2/m, No. 12
! total energy: -54.601 eV per cell
! ΔH_f (0 K): -0.063 eV per atom

[10]
! Pr8Dy2Pb | Alexandria via LeMat-Bulk | PBE-GGA | relaxed; values from VASP
&SYSTEM
  ibrav = 0, nat = 11, ntyp = 3
/
ATOMIC_SPECIES
Dy 162.50 Dy.upf
Pr 140.91 Pr.upf
Pb 207.20 Pb.upf
ATOMIC_POSITIONS crystal
Dy 0.7754 0.3681 0.5508
Dy 0.2246 0.6319 0.4492
Pr 0.9562 0.2690 0.9125
Pr 0.0438 0.7310 0.0875
Pr 0.8615 0.8187 0.7230
Pr 0.3223 0.0927 0.6445
Pr 0.6777 0.9073 0.3555
Pr 0.4088 0.5568 0.8175
Pr 0.5912 0.4432 0.1825
Pr 0.1385 0.1813 0.2770
Pb 0.5000 0.0000 0.0000
CELL_PARAMETERS angstrom
-2.9481 -2.6983 -3.1221
3.1722 3.9905 -6.4443
6.9463 -6.0973 2.8296
! space-group type: C2/m, No. 12
! total energy: -52.048 eV per cell
! ΔH_f (0 K): -0.082 eV per atom

[11]
! Pr3DyPb4 | Alexandria via LeMat-Bulk | PBE-GGA | relaxed; values from VASP
&SYSTEM
  ibrav = 0, nat = 8, ntyp = 3
/
ATOMIC_SPECIES
Pr 140.91 Pr.upf
Pb 207.20 Pb.upf
Dy 162.50 Dy.upf
ATOMIC_POSITIONS crystal
Pr 0.0000 0.5000 0.0000
Pr 0.2197 0.2196 0.4393
Pr 0.7803 0.7804 0.5607
Pb 0.6260 0.4059 0.2519
Pb 0.3740 0.5941 0.7481
Pb 0.3741 0.1540 0.7482
Pb 0.6259 0.8460 0.2518
Dy 0.5000 0.0000 0.0000
CELL_PARAMETERS angstrom
3.7440 0.0000 0.0000
0.0000 7.3625 -0.8148
-1.8720 -2.6416 9.7809
! space-group type: Immm, No. 71
! total energy: -36.882 eV per cell
! ΔH_f (0 K): -0.389 eV per atom

[12]
! Pr5DyPb6 | Alexandria via LeMat-Bulk | PBE-GGA | relaxed; values from VASP
&SYSTEM
  ibrav = 0, nat = 12, ntyp = 3
/
ATOMIC_SPECIES
Pb 207.20 Pb.upf
Pr 140.91 Pr.upf
Dy 162.50 Dy.upf
ATOMIC_POSITIONS crystal
Pb 0.7537 0.7543 0.0000
Pb 0.7531 0.0866 0.3200
Pb 0.7531 0.4066 0.6800
Pb 0.2463 0.2457 0.0000
Pb 0.2469 0.9134 0.6800
Pb 0.2469 0.5934 0.3200
Pr 0.0000 0.6690 0.6619
Pr 0.0000 0.3310 0.3381
Pr 0.5000 0.5000 0.0000
Pr 0.5000 0.1689 0.6621
Pr 0.5000 0.8311 0.3379
Dy 0.0000 0.0000 0.0000
CELL_PARAMETERS angstrom
8.4399 -0.4615 0.0000
2.0261 8.1555 0.0000
1.0130 4.0777 5.7295
! polymorph energy (0 for the lowest one): 0.067 eV per atom
! space-group type: C2/m, No. 12
! total energy: -56.085 eV per cell
! ΔH_f (0 K): -0.445 eV per atom

[13]
! PrDyPb2 | Alexandria via LeMat-Bulk | PBE-GGA | relaxed; values from VASP
&SYSTEM
  ibrav = 0, nat = 4, ntyp = 3
/
ATOMIC_SPECIES
Dy 162.50 Dy.upf
Pb 207.20 Pb.upf
Pr 140.91 Pr.upf
ATOMIC_POSITIONS crystal
Dy 0.4942 0.4942 0.5173
Pb 0.0888 0.0888 0.7336
Pb 0.2458 0.2458 0.2626
Pr 0.6712 0.6712 0.9865
CELL_PARAMETERS angstrom
-0.0903 -4.5625 1.5566
1.1919 -3.5910 -2.9886
6.9188 -2.1775 1.4864
! space-group type: R3m, No. 160
! total energy: -18.184 eV per cell
! ΔH_f (0 K): -0.346 eV per atom

[14]
! PrDyPb2 | Alexandria via LeMat-Bulk | PBE-GGA | relaxed; values from VASP
&SYSTEM
  ibrav = 0, nat = 4, ntyp = 3
/
ATOMIC_SPECIES
Pb 207.20 Pb.upf
Pr 140.91 Pr.upf
Dy 162.50 Dy.upf
ATOMIC_POSITIONS crystal
Pb 0.1804 0.5000 0.9016
Pb 0.9858 0.0000 0.5089
Pr 0.4521 0.5000 0.4416
Dy 0.7127 0.0000 0.9660
CELL_PARAMETERS angstrom
4.3330 0.0000 -1.5756
0.0000 4.5141 0.0000
-0.1309 0.0000 6.3680
! space-group type: Pm, No. 6
! total energy: -18.860 eV per cell
! ΔH_f (0 K): -0.516 eV per atom

[15]
! PrDyPb2 | Alexandria via LeMat-Bulk | PBE-GGA | relaxed; values from VASP
&SYSTEM
  ibrav = 0, nat = 4, ntyp = 3
/
ATOMIC_SPECIES
Pr 140.91 Pr.upf
Dy 162.50 Dy.upf
Pb 207.20 Pb.upf
ATOMIC_POSITIONS crystal
Pr 0.5000 0.0000 0.0000
Dy 0.5000 0.5000 0.5000
Pb 0.0000 0.0000 0.5000
Pb 0.0000 0.5000 0.0000
CELL_PARAMETERS angstrom
-2.4961 -2.0656 -3.2098
-3.1624 -1.7374 3.5774
-2.8430 4.1836 -0.4814
! space-group type: P4/mmm, No. 123
! total energy: -18.689 eV per cell
! ΔH_f (0 K): -0.473 eV per atom

[16]
! Pr2DyPb | Alexandria via LeMat-Bulk | PBE-GGA | relaxed; values from VASP
&SYSTEM
  ibrav = 0, nat = 4, ntyp = 3
/
ATOMIC_SPECIES
Dy 162.50 Dy.upf
Pb 207.20 Pb.upf
Pr 140.91 Pr.upf
ATOMIC_POSITIONS crystal
Dy 0.5000 0.5000 0.5000
Pb 0.0000 0.0000 0.0000
Pr 0.2500 0.2500 0.2500
Pr 0.7500 0.7500 0.7500
CELL_PARAMETERS angstrom
5.6314 0.0000 0.0000
2.8157 4.8770 0.0000
2.8157 1.6257 4.5981
! polymorph energy (0 for the lowest one): 0.166 eV per atom
! space-group type: Fm-3m, No. 225
! total energy: -18.479 eV per cell
! ΔH_f (0 K): -0.152 eV per atom

[17]
! Pr8Dy6Pb | Alexandria via LeMat-Bulk | PBE-GGA | relaxed; values from VASP
&SYSTEM
  ibrav = 0, nat = 15, ntyp = 3
/
ATOMIC_SPECIES
Pr 140.91 Pr.upf
Dy 162.50 Dy.upf
Pb 207.20 Pb.upf
ATOMIC_POSITIONS crystal
Pr 0.1329 0.6667 0.3333
Pr 0.1766 0.9575 0.7248
Pr 0.1766 0.7673 0.0425
Pr 0.8671 0.3333 0.6667
Pr 0.8234 0.7248 0.7673
Pr 0.8234 0.2327 0.9575
Pr 0.8234 0.0425 0.2752
Pr 0.1766 0.2752 0.2327
Dy 0.6600 0.9010 0.5532
Dy 0.6600 0.6523 0.0990
Dy 0.3400 0.0990 0.4468
Dy 0.3400 0.3477 0.9010
Dy 0.6600 0.4468 0.3477
Dy 0.3400 0.5532 0.6523
Pb 0.5000 0.0000 0.0000
CELL_PARAMETERS angstrom
-6.5702 -0.9905 -0.6163
0.5139 2.2582 -9.1069
1.0944 -8.9355 2.6940
! space-group type: P-3, No. 147
! total energy: -68.599 eV per cell
! ΔH_f (0 K): 0.064 eV per atom

[18]
! PrDy2Pb2 | Alexandria via LeMat-Bulk | PBE-GGA | relaxed; values from VASP
&SYSTEM
  ibrav = 0, nat = 5, ntyp = 3
/
ATOMIC_SPECIES
Dy 162.50 Dy.upf
Pr 140.91 Pr.upf
Pb 207.20 Pb.upf
ATOMIC_POSITIONS crystal
Dy 0.2500 0.7500 0.5000
Dy 0.7500 0.2500 0.5000
Pr 0.0000 0.0000 0.0000
Pb 0.3958 0.3958 0.7958
Pb 0.6042 0.6042 0.2042
CELL_PARAMETERS angstrom
4.6376 0.4864 -0.2685
-0.5095 4.6351 -0.2685
-1.6732 -2.0758 7.4496
! space-group type: C2/m, No. 12
! total energy: -22.980 eV per cell
! ΔH_f (0 K): -0.316 eV per atom

[19]
! PrDy2Pb | Alexandria via LeMat-Bulk | PBE-GGA | relaxed; values from VASP
&SYSTEM
  ibrav = 0, nat = 4, ntyp = 3
/
ATOMIC_SPECIES
Pr 140.91 Pr.upf
Dy 162.50 Dy.upf
Pb 207.20 Pb.upf
ATOMIC_POSITIONS crystal
Pr 0.5000 0.5000 0.5000
Dy 0.0000 0.0000 0.7714
Dy 0.0000 0.0000 0.2286
Pb 0.5000 0.5000 0.0000
CELL_PARAMETERS angstrom
-3.6393 -0.1484 -0.1722
0.1736 -3.5977 -0.5681
-0.3790 -1.4859 9.2931
! polymorph energy (0 for the lowest one): 0.105 eV per atom
! space-group type: P4/mmm, No. 123
! total energy: -18.507 eV per cell
! ΔH_f (0 K): -0.204 eV per atom

[20]
! PrDy2Pb | Alexandria via LeMat-Bulk | PBE-GGA | relaxed; values from VASP
&SYSTEM
  ibrav = 0, nat = 4, ntyp = 3
/
ATOMIC_SPECIES
Dy 162.50 Dy.upf
Pr 140.91 Pr.upf
Pb 207.20 Pb.upf
ATOMIC_POSITIONS crystal
Dy 0.0000 0.5000 0.0000
Dy 0.0000 0.0000 0.5000
Pr 0.5000 0.5000 0.5000
Pb 0.5000 0.0000 0.0000
CELL_PARAMETERS angstrom
4.8860 0.0000 0.0000
0.0000 4.9376 0.0000
0.0000 0.0000 4.9376
! polymorph energy (0 for the lowest one): 0.016 eV per atom
! space-group type: P4/mmm, No. 123
! total energy: -18.862 eV per cell
! ΔH_f (0 K): -0.292 eV per atom

[21]
! Pr6Dy8Pb | Alexandria via LeMat-Bulk | PBE-GGA | relaxed; values from VASP
&SYSTEM
  ibrav = 0, nat = 15, ntyp = 3
/
ATOMIC_SPECIES
Dy 162.50 Dy.upf
Pr 140.91 Pr.upf
Pb 207.20 Pb.upf
ATOMIC_POSITIONS crystal
Dy 0.8164 0.7375 0.7750
Dy 0.1553 0.6667 0.3333
Dy 0.1836 0.9625 0.7375
Dy 0.8447 0.3333 0.6667
Dy 0.8164 0.2250 0.9625
Dy 0.8164 0.0375 0.2625
Dy 0.1836 0.2625 0.2250
Dy 0.1836 0.7750 0.0375
Pr 0.6809 0.9108 0.5518
Pr 0.6809 0.4482 0.3590
Pr 0.3191 0.3590 0.9108
Pr 0.6809 0.6410 0.0892
Pr 0.3191 0.0892 0.4482
Pr 0.3191 0.5518 0.6410
Pb 0.5000 0.0000 0.0000
CELL_PARAMETERS angstrom
6.5115 0.0000 0.0000
0.0000 8.2203 -4.7460
0.0000 0.0000 9.4920
! space-group type: P-3, No. 147
! total energy: -68.319 eV per cell
! ΔH_f (0 K): 0.059 eV per atom

[22]
! Pr2DyPb | Alexandria via LeMat-Bulk | PBE-GGA | relaxed; values from VASP
&SYSTEM
  ibrav = 0, nat = 4, ntyp = 3
/
ATOMIC_SPECIES
Pr 140.91 Pr.upf
Pb 207.20 Pb.upf
Dy 162.50 Dy.upf
ATOMIC_POSITIONS crystal
Pr 0.0884 0.0884 0.7349
Pr 0.9116 0.9116 0.2651
Pb 0.0000 0.0000 0.0000
Dy 0.5000 0.5000 0.5000
CELL_PARAMETERS angstrom
-2.8169 -0.8716 2.0962
-1.7791 -3.1004 -0.5579
6.1039 -7.1188 8.3647
! polymorph energy (0 for the lowest one): 0.361 eV per atom
! space-group type: R-3m, No. 166
! total energy: -17.701 eV per cell
! ΔH_f (0 K): 0.042 eV per atom

[23]
! Pr5DyPb4 | Alexandria via LeMat-Bulk | PBE-GGA | relaxed; values from VASP
&SYSTEM
  ibrav = 0, nat = 10, ntyp = 3
/
ATOMIC_SPECIES
Dy 162.50 Dy.upf
Pr 140.91 Pr.upf
Pb 207.20 Pb.upf
ATOMIC_POSITIONS crystal
Dy 0.5000 0.0000 0.0000
Pr 0.8328 0.6725 0.6657
Pr 0.1662 0.8356 0.3324
Pr 0.5000 0.5000 0.0000
Pr 0.8338 0.1644 0.6676
Pr 0.1672 0.3275 0.3343
Pb 0.9918 0.7405 0.9837
Pb 0.0082 0.2595 0.0163
Pb 0.3268 0.9014 0.6535
Pb 0.6732 0.0986 0.3465
CELL_PARAMETERS angstrom
-2.5942 -1.5959 -4.6161
-4.5091 -4.2566 4.0056
0.3254 11.4706 -0.8356
! space-group type: C2/m, No. 12
! total energy: -47.145 eV per cell
! ΔH_f (0 K): -0.381 eV per atom

[24]
! Pr3DyPb5 | Alexandria via LeMat-Bulk | PBE-GGA | relaxed; values from VASP
&SYSTEM
  ibrav = 0, nat = 18, ntyp = 3
/
ATOMIC_SPECIES
Pr 140.91 Pr.upf
Pb 207.20 Pb.upf
Dy 162.50 Dy.upf
ATOMIC_POSITIONS crystal
Pr 0.7500 0.0000 0.3819
Pr 0.2500 0.0000 0.6181
Pr 0.2500 0.3819 0.3819
Pr 0.7500 0.6181 0.6181
Pr 0.2500 0.6181 0.0000
Pr 0.7500 0.3819 0.0000
Pb 0.5000 0.3333 0.6667
Pb 0.5000 0.6667 0.3333
Pb 0.7500 0.0000 0.7180
Pb 0.2500 0.2820 0.0000
Pb 0.7500 0.7180 0.0000
Pb 0.0000 0.6667 0.3333
Pb 0.7500 0.2820 0.2820
Pb 0.0000 0.3333 0.6667
Pb 0.2500 0.0000 0.2820
Pb 0.2500 0.7180 0.7180
Dy 0.5000 0.0000 0.0000
Dy 0.0000 0.0000 0.0000
CELL_PARAMETERS angstrom
6.6569 0.0000 0.0000
0.0000 8.4633 -4.8863
0.0000 0.0000 9.7726
! space-group type: P6_3/mcm, No. 193
! total energy: -83.729 eV per cell
! ΔH_f (0 K): -0.487 eV per atom